First-principles (GGA-PBE) data for crystalline AlZnCrRh2 at its relaxed geometry, as listed in the Alexandria database.

It has space group P4/mmm (No. 123), with a = 4.451 Å, b = 4.451 Å, c = 4.594 Å, α = 90.00°, β = 90.00° and γ = 90.00°. The asymmetric unit holds Al at (0.000, 0.000, 0.000), Zn at (0.500, 0.500, 0.500), Cr at (0.000, 0.000, 0.500) and Rh at (0.000, 0.500, 0.000).

Its volume is 91.0 Å³/cell. Its size of the total moment is 4.5 μB per cell. Its energy of formation is 3.13 eV/f.u.